Record 1
AgAsCl4 | PBE | optimized geometry

a = 6.0427 Å, b = 6.0427 Å, c = 7.0993 Å
α = 115.19°, β = 115.19°, γ = 90.00°
Last column: nearest neighbours and their distance in Å.
Fractional coordinates of all 6 atoms:
Ag 0.7500 0.2500 0.5000  4 Cl 2.60
Cl 0.3904 0.8495 0.2432  1 As 2.40, 1 Ag 2.60
Cl 0.1505 0.1472 0.7568  1 As 2.40, 1 Ag 2.60
Cl 0.6063 0.6096 0.7568  1 As 2.40, 1 Ag 2.60
Cl 0.8528 0.3937 0.2432  1 As 2.40, 1 Ag 2.60
As 0.5000 0.5000 0.0000  4 Cl 2.40

Computed properties:
Its energy above the lowest structure with this stoichiometry is 0 meV per atom. The magnetization is 0.00 μB per formula unit. The uncorrected formation energy comes out at -11.5 kcal/mol of atoms.

Record 2
Ag2AsCl6 | PBE | optimized geometry

a = 6.5350 Å, b = 6.3230 Å, c = 11.2604 Å
α = 90.00°, β = 92.44°, γ = 90.00°
Last column: nearest neighbours and their distance in Å.
Fractional coordinates of all 18 atoms:
Cl 0.6906 0.2277 0.4816  1 As 2.48, 1 Ag 2.68
Cl 0.6702 0.2516 0.1486  1 As 2.52, 1 Ag 2.57
Cl 0.8324 0.8072 0.6735  1 As 2.59, 2 Ag 2.59-2.64
Cl 0.3324 0.6928 0.1735  1 As 2.59, 2 Ag 2.59-2.64
Cl 0.3298 0.7484 0.8514  1 As 2.52, 1 Ag 2.57
Cl 0.6676 0.3072 0.8265  1 As 2.59, 2 Ag 2.59-2.64
Cl 0.8094 0.7277 0.0184  1 As 2.48, 1 Ag 2.68
Cl 0.1906 0.2723 0.9816  1 As 2.48, 1 Ag 2.68
Cl 0.3094 0.7723 0.5184  1 As 2.48, 1 Ag 2.68
Cl 0.1702 0.2484 0.6486  1 As 2.52, 1 Ag 2.57
Cl 0.8298 0.7516 0.3514  1 As 2.52, 1 Ag 2.57
Cl 0.1676 0.1928 0.3265  1 As 2.59, 2 Ag 2.59-2.64
Ag 0.4979 0.0266 0.6789  5 Cl 2.57-2.87
Ag 0.0021 0.5266 0.8211  5 Cl 2.57-2.87
Ag 0.9979 0.4734 0.1789  5 Cl 2.57-2.87
Ag 0.5021 0.9734 0.3211  5 Cl 2.57-2.87
As 0.5000 0.5000 0.0000  6 Cl 2.48-2.59
As 0.0000 0.0000 0.5000  6 Cl 2.48-2.59

Computed properties:
The magnetization is 0.00 μB per formula unit. The uncorrected formation energy comes out at -11.0 kcal/mol of atoms.

Record 3
AgAs2Cl | PBE | optimized geometry

a = 8.0508 Å, b = 8.0508 Å, c = 8.0508 Å
α = 154.04°, β = 153.82°, γ = 37.21°
Last column: nearest neighbours and their distance in Å.
Fractional coordinates of all 4 atoms:
As 0.0241 0.0241 0.0000  4 As 2.67
As 0.4759 0.4759 0.0000  4 As 2.67
Ag 0.2500 0.7500 0.5000  4 Cl 2.57
Cl 0.7500 0.2500 0.5000  4 Ag 2.57

Computed properties:
Its energy above the lowest structure with this stoichiometry is 254 meV per atom. The magnetization is 0.00 μB per formula unit. The uncorrected formation energy comes out at 2.0 kcal/mol of atoms.

Record 4
Ag2AsCl | PBE | optimized geometry

a = 4.8290 Å, b = 4.8290 Å, c = 4.8290 Å
α = 60.00°, β = 60.00°, γ = 60.00°
Last column: nearest neighbours and their distance in Å.
Fractional coordinates of all 4 atoms:
Ag 0.0000 0.0000 0.0000  4 Ag 2.96, 4 Cl 2.96
Ag 0.7500 0.7500 0.7500  4 As 2.96, 4 Ag 2.96
Cl 0.2500 0.2500 0.2500  4 Ag 2.96, 4 As 2.96
As 0.5000 0.5000 0.5000  4 Cl 2.96, 4 Ag 2.96

Computed properties:
Its energy above the lowest structure with this stoichiometry is 479 meV per atom. The magnetization is 0.00 μB per formula unit. The uncorrected formation energy comes out at 9.5 kcal/mol of atoms.